Record 1
A plane-wave DFT calculation with PBE was carried out for a relaxed CdCu2O3 crystal.

Distance to the lowest polymorph of the same formula   0.353 eV/atom

a = 4.9255 Å, b = 5.8561 Å, c = 5.8561 Å
α = 116.62°, β = 90.00°, γ = 90.00°
Each line ends with the local moment (μB).
Fractional coordinates of all 12 atoms:
O 0.7500 0.1334 0.4118  0.06
Cd 0.2500 0.2846 0.7154  0.00
Cu 0.5000 0.7660 0.7660  0.15
O 0.7500 0.0855 0.9145  0.22
O 0.2500 0.4118 0.1334  0.06
O 0.7500 0.5882 0.8666  0.06
O 0.2500 0.8666 0.5882  0.06
Cu 0.5000 0.2340 0.2340  0.15
Cu 0.0000 0.7660 0.7660  0.15
O 0.2500 0.9145 0.0855  0.22
Cu 0.0000 0.2340 0.2340  0.15
Cd 0.7500 0.7154 0.2846  0.00

---

Record 2
A plane-wave DFT calculation with PBE was carried out for a relaxed CdCu6O12 crystal.

a = 6.6417 Å, b = 6.6420 Å, c = 6.6420 Å
α = 109.47°, β = 109.47°, γ = 109.47°
Each line ends with the local moment (μB).
Fractional coordinates of all 19 atoms:
O 0.3428 0.4940 0.1512  0.49
O 0.8488 0.6572 0.5060  0.49
O 0.6572 0.5060 0.8488  0.49
O 0.8488 0.3428 0.1916  0.49
O 0.1512 0.3428 0.4940  0.49
O 0.3428 0.1916 0.8488  0.49
Cu 0.6609 0.5000 0.1609  0.51
O 0.4940 0.1512 0.3428  0.49
Cu 0.3391 0.5000 0.8391  0.51
O 0.1512 0.6572 0.8084  0.49
Cd 0.0000 0.0000 0.0000  -0.01
Cu 0.5000 0.8391 0.3391  0.51
O 0.1916 0.8488 0.3428  0.49
Cu 0.1609 0.6609 0.5000  0.51
O 0.8084 0.1512 0.6572  0.49
Cu 0.5000 0.1609 0.6609  0.51
O 0.6572 0.8084 0.1512  0.49
O 0.5060 0.8488 0.6572  0.49
Cu 0.8391 0.3391 0.5000  0.51

---

Record 3
A plane-wave DFT calculation with PBE was carried out for a relaxed CdCuO crystal.

Distance to the lowest polymorph of the same formula   0.000 eV/atom

a = 3.2140 Å, b = 5.5189 Å, c = 9.5275 Å
α = 90.00°, β = 90.00°, γ = 90.00°
Fractional coordinates of all 12 atoms:
Cu 0.7500 0.6263 0.2355
Cd 0.2500 0.7777 0.5037
O 0.2500 0.0286 0.8421
Cu 0.2500 0.1263 0.2645
O 0.2500 0.4714 0.3421
Cu 0.7500 0.8737 0.7355
Cd 0.7500 0.2777 0.9963
Cd 0.7500 0.2223 0.4963
O 0.7500 0.9714 0.1579
Cu 0.2500 0.3737 0.7645
Cd 0.2500 0.7223 0.0037
O 0.7500 0.5286 0.6579

---

In the order shown, the computed formation energy (no corrections) values come out to -346 129 -348 meV per atom.
In the order shown, the computed E values come out to -4.343 -4.344 -3.671 eV per atom.
In the order shown, the computed calculated volume values come out to 12.58 11.87 14.08 A^3/atom.